V6FeNi12: optimized geometry, GGA-PBE.

Lattice parameters (Å, degrees): 6.088 6.088 6.088 90.31 90.31 90.31
Fractional coordinates of all 19 atoms:
V (0.220, 0.758, 0.383)
V (0.242, 0.617, 0.780)
V (0.383, 0.220, 0.758)
V (0.617, 0.780, 0.242)
V (0.758, 0.383, 0.220)
V (0.780, 0.242, 0.617)
Fe (0.500, 0.500, 0.500)
Ni (0.029, 0.293, 0.945)
Ni (0.055, 0.971, 0.707)
Ni (0.129, 0.350, 0.459)
Ni (0.293, 0.945, 0.029)
Ni (0.350, 0.459, 0.129)
Ni (0.459, 0.129, 0.350)
Ni (0.541, 0.871, 0.650)
Ni (0.650, 0.541, 0.871)
Ni (0.707, 0.055, 0.971)
Ni (0.871, 0.650, 0.541)
Ni (0.945, 0.029, 0.293)
Ni (0.971, 0.707, 0.055)

Properties
Energy relative to the elements = -0.7 eV/f.u.